Entry 1:
A geometry-optimized RbSrZrPt2 structure. Source: the Alexandria database, functional GGA-PBE.

```
RbSrZrPt2
1.0
5.1817 0.0000 0.0000
0.0000 5.1817 0.0000
0.0000 0.0000 5.8393
Rb Sr Zr Pt
1 1 1 2
direct
0.0000 0.0000 0.0000
0.5000 0.5000 0.0000
0.5000 0.5000 0.5000
0.0000 0.5000 0.5000
0.5000 0.0000 0.5000
```

Values from the calculation:
Total magnetization in μB per formula unit: 0.00
Energy of formation from the pure elements in eV per atom: 0.260


Entry 2:
A geometry-optimized Cs3KNb structure. Source: the Alexandria database, functional GGA-PBE.

```
Cs3KNb
1.0
7.8018 0.0000 0.0000
0.0000 7.8018 0.0000
0.0000 0.0000 7.8018
Cs K Nb
3 1 1
direct
0.0000 0.0000 0.5000
0.0000 0.5000 0.0000
0.5000 0.0000 0.0000
0.0000 0.0000 0.0000
0.5000 0.5000 0.5000
```

Values from the calculation:
Total magnetization in μB per formula unit: 4.93
Energy relative to the lowest polymorph listed for this composition in eV/atom: 0.3103
Energy of formation from the pure elements in eV per atom: 1.330


Entry 3:
A geometry-optimized RuRh2Cl structure. Source: the Alexandria database, functional GGA-PBE.

```
RuRh2Cl
1.0
1.4236 0.8219 8.3824
-1.4236 0.8219 8.3824
0.0000 -1.6438 8.3824
Ru Rh Cl
1 2 1
direct
0.0000 0.0000 0.0000
0.2501 0.2501 0.2501
0.7499 0.7499 0.7499
0.5000 0.5000 0.5000
```

Values from the calculation:
Total magnetization in μB per formula unit: 0.00
Energy relative to the lowest polymorph listed for this composition in eV/atom: 0.0000
Energy relative to the elements, uncorrected in eV per atom: 0.2952


Entry 4:
A geometry-optimized MgNiCl structure. Source: the Alexandria database, functional GGA-PBE.

```
MgNiCl
1.0
0.0000 2.5652 5.6538
1.7444 0.0000 5.6538
1.7444 2.5652 0.0000
Mg Ni Cl
1 1 1
direct
0.0000 0.0000 0.0000
0.3394 0.3394 0.6606
0.6635 0.6635 0.3365
```

Values from the calculation:
Total magnetization in μB per formula unit: 0.00
Energy relative to the lowest polymorph listed for this composition in eV/atom: 0.0878
Energy relative to the elements, uncorrected in eV per atom: -0.2032


Entry 5:
A geometry-optimized ThBe2 structure. Source: the Alexandria database, functional GGA-PBE.

```
ThBe2
1.0
0.0000 3.6640 3.6640
3.6640 0.0000 3.6640
3.6640 3.6640 0.0000
Th Be
2 4
direct
0.1250 0.1250 0.1250
0.8750 0.8750 0.8750
0.0000 0.5000 0.5000
0.5000 0.0000 0.5000
0.5000 0.5000 0.0000
0.5000 0.5000 0.5000
```

Values from the calculation:
Total magnetization in μB per formula unit: 0.00
Energy of formation from the pure elements in eV per atom: 0.197


Entry 6:
A geometry-optimized ZnCdRh2 structure. Source: the Alexandria database, functional GGA-PBE.

```
ZnCdRh2
1.0
2.4904 -1.4362 0.0000
2.4904 1.4362 0.0000
-1.6844 0.0000 8.6510
Zn Cd Rh
1 1 2
direct
0.0000 0.0000 0.0000
0.8334 0.8334 0.4998
0.4114 0.4114 0.2329
0.5886 0.5886 0.7670
```

Values from the calculation:
Total magnetization in μB per formula unit: 0.00
Energy of formation from the pure elements in eV per atom: -0.140


What did the third record say?
A geometry-optimized RuRh2Cl structure. Source: the Alexandria database, functional GGA-PBE.

```
RuRh2Cl
1.0
1.4236 0.8219 8.3824
-1.4236 0.8219 8.3824
0.0000 -1.6438 8.3824
Ru Rh Cl
1 2 1
direct
0.0000 0.0000 0.0000
0.2501 0.2501 0.2501
0.7499 0.7499 0.7499
0.5000 0.5000 0.5000
```

Values from the calculation:
Total magnetization in μB per formula unit: 0.00
Energy relative to the lowest polymorph listed for this composition in eV/atom: 0.0000
Energy relative to the elements, uncorrected in eV per atom: 0.2952


Copy entry 4 word for word.
A geometry-optimized MgNiCl structure. Source: the Alexandria database, functional GGA-PBE.

```
MgNiCl
1.0
0.0000 2.5652 5.6538
1.7444 0.0000 5.6538
1.7444 2.5652 0.0000
Mg Ni Cl
1 1 1
direct
0.0000 0.0000 0.0000
0.3394 0.3394 0.6606
0.6635 0.6635 0.3365
```

Values from the calculation:
Total magnetization in μB per formula unit: 0.00
Energy relative to the lowest polymorph listed for this composition in eV/atom: 0.0878
Energy relative to the elements, uncorrected in eV per atom: -0.2032


Question: Which formula does entry 2 have?
Answer: Cs3KNb